Entry 1:
VASP calculation (PBE) on crystalline BeReAs at its relaxed geometry.

Structure (CIF):
```
data_BeReAs
_cell_length_a 5.5032
_cell_length_b 5.5032
_cell_length_c 5.5032
_cell_angle_alpha 90.00
_cell_angle_beta 90.00
_cell_angle_gamma 90.00
_symmetry_space_group_name_H-M 'F -4 3 m'
_symmetry_Int_Tables_number 216
_symmetry_space_group_name_Hall 'F -4 2 3'
loop_
_atom_site_label
_atom_site_type_symbol
_atom_site_fract_x
_atom_site_fract_y
_atom_site_fract_z
Be1 Be 0.0000 0.0000 0.0000
Re1 Re 0.2500 0.2500 0.2500
As1 As 0.2500 0.2500 0.7500
```

Values from the calculation:
E: -75.6 eV/cell
Magnetization: 0.0 μB per formula unit
Energy above the lowest structure with this stoichiometry: 0.7459 eV per atom
Formation energy: 0.6414 eV/atom
Crystal system: cubic

=====

Entry 2:
VASP calculation (PBE) on crystalline Be2ReAs at its relaxed geometry.

Structure (CIF):
```
data_Be2ReAs
_cell_length_a 2.7080
_cell_length_b 4.1797
_cell_length_c 4.3308
_cell_angle_alpha 90.00
_cell_angle_beta 90.00
_cell_angle_gamma 90.00
_symmetry_space_group_name_H-M 'P m m 2'
_symmetry_Int_Tables_number 25
loop_
_symmetry_equiv_pos_as_xyz
'x,y,z'
'-x,-y,z'
'-x,y,z'
'x,-y,z'
loop_
_atom_site_label
_atom_site_type_symbol
_atom_site_fract_x
_atom_site_fract_y
_atom_site_fract_z
Be1 Be 0.0000 0.0000 0.0000
Be2 Be 0.0000 0.5000 0.3035
Re1 Re 0.5000 0.5000 0.8127
As1 As 0.5000 0.0000 0.4664
```

Values from the calculation:
E: -23.6 eV/cell
Magnetization: 0.0 μB per formula unit
Formation energy: 0.2369 eV/atom
Crystal system: orthorhombic

=====

Entry 3:
VASP calculation (PBE) on crystalline Be2ReAs at its relaxed geometry.

Structure (CIF):
```
data_Be2ReAs
_cell_length_a 3.3410
_cell_length_b 4.1100
_cell_length_c 7.5065
_cell_angle_alpha 90.00
_cell_angle_beta 90.00
_cell_angle_gamma 90.00
_symmetry_space_group_name_H-M 'C m m 2'
_symmetry_Int_Tables_number 35
loop_
_symmetry_equiv_pos_as_xyz
'x,y,z'
'-x,-y,z'
'-x,y,z'
'x,-y,z'
'x+1/2,y+1/2,z'
'-x+1/2,-y+1/2,z'
'-x+1/2,y+1/2,z'
'x+1/2,-y+1/2,z'
loop_
_atom_site_label
_atom_site_type_symbol
_atom_site_fract_x
_atom_site_fract_y
_atom_site_fract_z
Be1 Be 0.0000 0.0000 0.0000
Be2 Be 0.0000 0.5000 0.1821
Re1 Re 0.0000 0.0000 0.4067
As1 As 0.0000 0.5000 0.7308
```

Values from the calculation:
E: -44.8 eV/cell
Magnetization: 0.0 μB per formula unit
Formation energy: 0.5387 eV/atom
Crystal system: orthorhombic

=====

Entry 4:
VASP calculation (PBE) on crystalline BeReAs at its relaxed geometry.

Structure (CIF):
```
data_BeReAs
_cell_length_a 4.2053
_cell_length_b 4.2053
_cell_length_c 4.9408
_cell_angle_alpha 90.00
_cell_angle_beta 90.00
_cell_angle_gamma 90.00
_symmetry_space_group_name_H-M 'P 4/n m m'
_symmetry_Int_Tables_number 129
loop_
_symmetry_equiv_pos_as_xyz
'x,y,z'
'-x,-y,-z'
'-y+1/2,x,z'
'y+1/2,-x,-z'
'-x+1/2,-y+1/2,z'
'x+1/2,y+1/2,-z'
'y,-x+1/2,z'
'-y,x+1/2,-z'
'x+1/2,-y,-z'
'-x+1/2,y,z'
'-y,-x,-z'
'y,x,z'
'-x,y+1/2,-z'
'x,-y+1/2,z'
'y+1/2,x+1/2,-z'
'-y+1/2,-x+1/2,z'
loop_
_atom_site_label
_atom_site_type_symbol
_atom_site_fract_x
_atom_site_fract_y
_atom_site_fract_z
Be1 Be 0.2500 0.2500 0.2471
Re1 Re 0.2500 0.2500 0.7158
As1 As 0.2500 0.7500 0.0000
```

Values from the calculation:
E: -37.6 eV/cell
Magnetization: 0.0 μB per formula unit
Energy above the lowest structure with this stoichiometry: 0.7725 eV per atom
Formation energy: 0.6680 eV/atom
Crystal system: tetragonal

=====

Entry 5:
VASP calculation (PBE) on crystalline Be2ReAs at its relaxed geometry.

Structure (CIF):
```
data_Be2ReAs
_cell_length_a 6.3529
_cell_length_b 6.3529
_cell_length_c 5.0829
_cell_angle_alpha 90.00
_cell_angle_beta 90.00
_cell_angle_gamma 90.00
_symmetry_space_group_name_H-M 'I -4 2 d'
_symmetry_Int_Tables_number 122
_symmetry_space_group_name_Hall 'I -4 2bw'
loop_
_atom_site_label
_atom_site_type_symbol
_atom_site_fract_x
_atom_site_fract_y
_atom_site_fract_z
Be1 Be 0.2291 0.7500 0.1250
Re1 Re 0.0000 0.0000 0.5000
As1 As 0.0000 0.0000 0.0000
```

Values from the calculation:
E: -87.4 eV/cell
Magnetization: 0.0 μB per formula unit
Formation energy: 0.6725 eV/atom
Crystal system: tetragonal

=====

Entry 6:
VASP calculation (PBE) on crystalline Be2ReAs at its relaxed geometry.

Structure (CIF):
```
data_Be2ReAs
_cell_length_a 3.1306
_cell_length_b 3.1306
_cell_length_c 4.9182
_cell_angle_alpha 90.00
_cell_angle_beta 90.00
_cell_angle_gamma 90.00
_symmetry_space_group_name_H-M 'P 4 m m'
_symmetry_Int_Tables_number 99
loop_
_symmetry_equiv_pos_as_xyz
'x,y,z'
'-y,x,z'
'-x,-y,z'
'y,-x,z'
'-x,y,z'
'y,x,z'
'x,-y,z'
'-y,-x,z'
loop_
_atom_site_label
_atom_site_type_symbol
_atom_site_fract_x
_atom_site_fract_y
_atom_site_fract_z
Be1 Be 0.0000 0.0000 0.0000
Be2 Be 0.5000 0.5000 0.2115
Re1 Re 0.0000 0.0000 0.4750
As1 As 0.5000 0.5000 0.7420
```

Values from the calculation:
E: -24.2 eV/cell
Magnetization: 0.0 μB per formula unit
Formation energy: 0.0950 eV/atom
Crystal system: tetragonal

=====

Entry 7:
VASP calculation (PBE) on crystalline Be2ReAs at its relaxed geometry.

Structure (CIF):
```
data_Be2ReAs
_cell_length_a 3.2522
_cell_length_b 3.8691
_cell_length_c 7.6571
_cell_angle_alpha 90.00
_cell_angle_beta 90.00
_cell_angle_gamma 90.00
_symmetry_space_group_name_H-M 'I m m m'
_symmetry_Int_Tables_number 71
_symmetry_space_group_name_Hall '-I 2 2'
loop_
_atom_site_label
_atom_site_type_symbol
_atom_site_fract_x
_atom_site_fract_y
_atom_site_fract_z
Be1 Be 0.0000 0.0000 0.2491
Re1 Re 0.0000 0.5000 0.0000
As1 As 0.0000 0.5000 0.5000
```

Values from the calculation:
E: -47.2 eV/cell
Magnetization: 0.0 μB per formula unit
Formation energy: 0.2413 eV/atom
Crystal system: orthorhombic

=====

Entry 8:
VASP calculation (PBE) on crystalline BeReAs3 at its relaxed geometry.

Structure (CIF):
```
data_BeReAs3
_cell_length_a 4.8365
_cell_length_b 4.8365
_cell_length_c 4.8365
_cell_angle_alpha 90.00
_cell_angle_beta 90.00
_cell_angle_gamma 90.00
_symmetry_space_group_name_H-M 'P m -3 m'
_symmetry_Int_Tables_number 221
_symmetry_space_group_name_Hall '-P 4 2 3'
loop_
_atom_site_label
_atom_site_type_symbol
_atom_site_fract_x
_atom_site_fract_y
_atom_site_fract_z
Be1 Be 0.0000 0.0000 0.0000
Re1 Re 0.5000 0.5000 0.5000
As1 As 0.0000 0.5000 0.5000
```

Values from the calculation:
E: -25.0 eV/cell
Magnetization: 0.0 μB per formula unit
Energy above the lowest structure with this stoichiometry: 0.0000 eV per atom
Formation energy: 1.0247 eV/atom
Crystal system: cubic

=====

Entry 9:
VASP calculation (PBE) on crystalline BeReAs at its relaxed geometry.

Structure (CIF):
```
data_BeReAs
_cell_length_a 2.9928
_cell_length_b 4.7106
_cell_length_c 12.1469
_cell_angle_alpha 90.00
_cell_angle_beta 90.00
_cell_angle_gamma 90.00
_symmetry_space_group_name_H-M 'F m m 2'
_symmetry_Int_Tables_number 42
_symmetry_space_group_name_Hall 'F 2 -2'
loop_
_atom_site_label
_atom_site_type_symbol
_atom_site_fract_x
_atom_site_fract_y
_atom_site_fract_z
Be1 Be 0.0000 0.0000 0.0000
Re1 Re 0.0000 0.0000 0.6482
As1 As 0.0000 0.0000 0.3289
```

Values from the calculation:
E: -76.8 eV/cell
Magnetization: 0.0 μB per formula unit
Energy above the lowest structure with this stoichiometry: 0.6496 eV per atom
Formation energy: 0.5452 eV/atom
Crystal system: orthorhombic

=====

Entry 10:
VASP calculation (PBE) on crystalline Be2ReAs at its relaxed geometry.

Structure (CIF):
```
data_Be2ReAs
_cell_length_a 3.1418
_cell_length_b 3.1418
_cell_length_c 4.8600
_cell_angle_alpha 90.00
_cell_angle_beta 90.00
_cell_angle_gamma 90.00
_symmetry_space_group_name_H-M 'P 4/m m m'
_symmetry_Int_Tables_number 123
_symmetry_space_group_name_Hall '-P 4 2'
loop_
_atom_site_label
_atom_site_type_symbol
_atom_site_fract_x
_atom_site_fract_y
_atom_site_fract_z
Be1 Be 0.0000 0.0000 0.2272
Re1 Re 0.5000 0.5000 0.0000
As1 As 0.5000 0.5000 0.5000
```

Values from the calculation:
E: -24.5 eV/cell
Magnetization: 0.0 μB per formula unit
Formation energy: 0.0154 eV/atom
Crystal system: tetragonal

=====

Entry 11:
VASP calculation (PBE) on crystalline BeReAs at its relaxed geometry.

Structure (CIF):
```
data_BeReAs
_cell_length_a 3.1261
_cell_length_b 3.1261
_cell_length_c 7.7872
_cell_angle_alpha 90.00
_cell_angle_beta 90.00
_cell_angle_gamma 90.00
_symmetry_space_group_name_H-M 'I 4 m m'
_symmetry_Int_Tables_number 107
_symmetry_space_group_name_Hall 'I 4 -2'
loop_
_atom_site_label
_atom_site_type_symbol
_atom_site_fract_x
_atom_site_fract_y
_atom_site_fract_z
Be1 Be 0.0000 0.0000 0.0000
Re1 Re 0.0000 0.0000 0.6608
As1 As 0.0000 0.0000 0.3305
```

Values from the calculation:
E: -42.3 eV/cell
Magnetization: 0.0 μB per formula unit
Energy above the lowest structure with this stoichiometry: 0.0000 eV per atom
Formation energy: -0.1044 eV/atom
Crystal system: tetragonal

=====

Entry 12:
VASP calculation (PBE) on crystalline Be2ReAs at its relaxed geometry.

Structure (CIF):
```
data_Be2ReAs
_cell_length_a 3.8144
_cell_length_b 3.8144
_cell_length_c 3.2092
_cell_angle_alpha 90.00
_cell_angle_beta 90.00
_cell_angle_gamma 90.00
_symmetry_space_group_name_H-M 'P 4/m m m'
_symmetry_Int_Tables_number 123
_symmetry_space_group_name_Hall '-P 4 2'
loop_
_atom_site_label
_atom_site_type_symbol
_atom_site_fract_x
_atom_site_fract_y
_atom_site_fract_z
Be1 Be 0.0000 0.5000 0.0000
Re1 Re 0.0000 0.0000 0.5000
As1 As 0.5000 0.5000 0.5000
```

Values from the calculation:
E: -23.5 eV/cell
Magnetization: 0.0 μB per formula unit
Formation energy: 0.2508 eV/atom
Crystal system: tetragonal

=====

Q: The highest E belongs to which entry?
A: number 12

=====

Q: What is the formation energy in the twelfth record?
A: 0.2508 eV/atom